Material: Tm3Si6Pd20
Method: DFT, PBE
State: relaxed

Cell and atoms, written as POSCAR:
```
Tm3Si6Pd20
1.0
-0.243 4.500 -7.424
1.986 -3.893 -7.505
-6.223 -1.597 -5.844
Pd Si Tm
20 6 3
Direct
0.383 0.383 0.383
0.000 0.345 0.000
0.655 0.345 0.000
0.148 0.617 0.617
0.852 0.383 0.383
0.617 0.617 0.617
0.617 0.617 0.148
0.383 0.383 0.852
0.345 0.000 0.000
0.000 0.000 0.345
0.345 0.000 0.655
0.345 0.655 0.000
0.383 0.852 0.383
0.000 0.345 0.655
0.617 0.148 0.617
0.655 0.000 0.000
0.000 0.000 0.655
0.000 0.655 0.345
0.655 0.000 0.345
0.000 0.655 0.000
0.268 0.732 0.268
0.732 0.268 0.268
0.732 0.268 0.732
0.268 0.268 0.732
0.268 0.732 0.732
0.732 0.732 0.268
0.000 0.000 0.000
0.250 0.250 0.250
0.750 0.750 0.750
```

Total moment = 0.00 μB/atom
Formation energy without anion corrections = -0.82 eV per atom



Material: Tm4SiPd3
Method: DFT, PBE
State: relaxed

Cell and atoms, written as POSCAR:
```
Tm4SiPd3
1.0
-2.713 1.102 2.417
-0.841 -4.115 0.932
7.133 0.321 7.861
Tm Si Pd
4 1 3
Direct
0.000 0.500 0.860
0.500 0.000 0.641
0.000 0.000 0.139
0.500 0.500 0.358
0.500 0.500 0.079
0.500 0.000 0.923
0.000 0.500 0.587
0.000 0.000 0.413
```

Total moment = 0.00 μB/atom
Formation energy without anion corrections = -0.90 eV per atom



Material: Tm3Si2Pd6
Method: DFT, PBE
State: relaxed

Cell and atoms, written as POSCAR:
```
Tm3Si2Pd6
1.0
-3.985 5.552 -4.279
7.530 -0.662 -2.806
-3.750 -7.107 -0.664
Tm Pd Si
6 12 4
Direct
0.000 0.288 0.288
0.288 0.000 0.288
0.288 0.288 0.000
0.712 0.712 0.000
0.000 0.712 0.712
0.712 0.000 0.712
0.000 0.678 0.322
0.000 0.322 0.678
0.678 0.678 0.356
0.356 0.678 0.678
0.678 0.322 0.000
0.678 0.000 0.322
0.322 0.644 0.322
0.322 0.678 0.000
0.644 0.322 0.322
0.678 0.356 0.678
0.322 0.322 0.644
0.322 0.000 0.678
0.000 0.500 0.000
0.000 0.000 0.500
0.500 0.500 0.500
0.500 0.000 0.000
```

Total moment = 0.00 μB/atom
Formation energy without anion corrections = -0.86 eV per atom



Material: Tm12SiPd6
Method: DFT, PBE
State: relaxed

Cell and atoms, written as POSCAR:
```
Tm12SiPd6
1.0
-5.513 5.994 1.090
-4.164 -6.502 2.809
5.127 1.415 6.263
Tm Pd Si
12 6 1
Direct
0.571 0.174 0.414
0.675 0.921 0.057
0.079 0.943 0.325
0.174 0.414 0.571
0.826 0.586 0.429
0.057 0.675 0.921
0.921 0.057 0.675
0.325 0.079 0.943
0.943 0.325 0.079
0.586 0.429 0.826
0.414 0.571 0.174
0.429 0.826 0.586
0.861 0.381 0.682
0.381 0.682 0.861
0.682 0.861 0.381
0.318 0.139 0.619
0.619 0.318 0.139
0.139 0.619 0.318
0.000 0.000 0.000
```

Total moment = 0.00 μB/atom
Formation energy without anion corrections = -0.53 eV per atom



Material: TmSiPd
Method: DFT, PBE
State: relaxed

Cell and atoms, written as POSCAR:
```
TmSiPd
1.0
-6.517 1.813 0.819
-5.227 -3.972 -4.454
-4.617 -5.392 3.542
Pd Tm Si
6 6 6
Direct
0.502 0.000 0.000
0.012 0.623 0.623
0.257 0.377 0.377
0.012 0.123 0.123
0.502 0.500 0.500
0.257 0.877 0.877
0.257 0.961 0.461
0.834 0.250 0.750
0.834 0.750 0.250
0.681 0.538 0.038
0.257 0.462 0.962
0.680 0.039 0.539
0.590 0.667 0.667
0.256 0.250 0.750
0.590 0.167 0.167
0.924 0.333 0.333
0.924 0.833 0.833
0.257 0.750 0.250
```

Total moment = 0.00 μB/atom
Formation energy without anion corrections = -0.96 eV per atom



Material: TmSi2Pd5
Method: DFT, PBE
State: relaxed

Cell and atoms, written as POSCAR:
```
TmSi2Pd5
1.0
3.809 0.000 0.000
1.905 6.031 0.413
1.905 1.515 5.853
Tm Pd Si
1 5 2
Direct
0.000 0.000 0.000
0.352 0.849 0.446
0.352 0.446 0.849
0.648 0.554 0.151
0.648 0.151 0.554
0.000 0.500 0.500
0.754 0.746 0.746
0.246 0.254 0.254
```

Total moment = 0.00 μB/atom
Formation energy without anion corrections = -0.76 eV per atom



Material: Tm2Si3Pd
Method: DFT, PBE
State: relaxed

Cell and atoms, written as POSCAR:
```
Tm2Si3Pd
1.0
4.081 -7.069 0.000
4.081 7.069 0.000
0.000 0.000 7.762
Si Tm Pd
12 8 4
Direct
0.835 0.670 0.501
0.670 0.835 0.499
0.835 0.670 0.999
0.165 0.330 0.499
0.835 0.165 0.501
0.165 0.330 0.001
0.330 0.165 0.501
0.670 0.835 0.001
0.835 0.165 0.999
0.330 0.165 0.999
0.165 0.835 0.001
0.165 0.835 0.499
0.490 0.981 0.750
0.000 0.000 0.250
0.510 0.490 0.250
0.490 0.510 0.750
0.019 0.510 0.750
0.981 0.490 0.250
0.510 0.019 0.250
0.000 0.000 0.750
0.333 0.667 0.466
0.667 0.333 0.534
0.667 0.333 0.966
0.333 0.667 0.034
```

Total moment = 0.00 μB/atom
Formation energy without anion corrections = -0.86 eV per atom



Material: TmSi3Pd3
Method: DFT, PBE
State: relaxed

Cell and atoms, written as POSCAR:
```
TmSi3Pd3
1.0
-2.696 -1.420 -5.817
-5.548 -1.808 3.012
-2.253 6.151 -0.458
Si Pd Tm
6 6 2
Direct
0.500 0.000 0.750
0.250 0.500 0.000
0.000 0.750 0.500
0.000 0.250 0.500
0.500 0.000 0.250
0.750 0.500 0.000
0.500 0.750 0.000
0.750 0.000 0.500
0.000 0.500 0.750
0.250 0.000 0.500
0.000 0.500 0.250
0.500 0.250 0.000
0.000 0.000 0.000
0.500 0.500 0.500
```

Energy above the lowest structure with this stoichiometry = 264.9 meV per atom
Total moment = 0.00 μB/atom
Formation energy without anion corrections = -0.26 eV per atom



Material: Tm2Si3Pd
Method: DFT, PBE
State: relaxed

Cell and atoms, written as POSCAR:
```
Tm2Si3Pd
1.0
3.841 0.000 1.609
1.911 5.237 0.828
-0.089 -0.612 5.602
Tm Pd Si
2 1 3
Direct
0.500 0.247 0.752
0.500 0.752 0.248
0.167 0.333 0.333
0.834 0.166 0.166
0.831 0.669 0.669
0.168 0.832 0.833
```

Total moment = 0.00 μB/atom
Formation energy without anion corrections = -0.82 eV per atom



Material: Tm2Si4Pd3
Method: DFT, PBE
State: relaxed

Cell and atoms, written as POSCAR:
```
Tm2Si4Pd3
1.0
5.597 0.000 0.000
0.000 7.256 0.000
-2.799 0.000 7.390
Tm Pd Si
4 6 8
Direct
0.104 0.594 0.209
0.396 0.094 0.791
0.896 0.406 0.791
0.604 0.906 0.209
0.521 0.750 0.541
0.979 0.250 0.459
0.021 0.750 0.541
0.479 0.250 0.459
0.500 0.500 0.000
0.000 0.000 0.000
0.687 0.750 0.874
0.677 0.523 0.354
0.187 0.750 0.874
0.313 0.250 0.126
0.813 0.250 0.126
0.323 0.477 0.646
0.823 0.023 0.646
0.177 0.977 0.354
```

Total moment = 0.00 μB/atom
Formation energy without anion corrections = -0.79 eV per atom



Material: TmSiPd3
Method: DFT, PBE
State: relaxed

Cell and atoms, written as POSCAR:
```
TmSiPd3
1.0
5.167 0.000 0.000
0.000 5.167 0.000
-2.583 -2.583 7.761
Tm Pd Si
2 6 2
Direct
0.898 0.398 0.797
0.602 0.102 0.203
0.291 0.291 0.582
0.122 0.869 0.245
0.624 0.878 0.755
0.122 0.376 0.245
0.709 0.709 0.418
0.131 0.878 0.755
0.000 0.000 0.000
0.250 0.750 0.500
```

Total moment = 0.00 μB/atom
Formation energy without anion corrections = -0.52 eV per atom



Material: Tm3Si3Pd
Method: DFT, PBE
State: relaxed

Cell and atoms, written as POSCAR:
```
Tm3Si3Pd
1.0
-0.677 -3.594 2.082
4.595 -3.202 0.221
3.595 3.668 11.755
Si Pd Tm
6 2 6
Direct
0.877 0.699 0.546
0.113 0.849 0.925
0.123 0.301 0.454
0.035 0.160 0.770
0.887 0.151 0.075
0.965 0.840 0.230
0.244 0.915 0.597
0.756 0.085 0.403
0.258 0.258 0.225
0.526 0.325 0.624
0.396 0.285 0.923
0.474 0.675 0.376
0.742 0.742 0.775
0.604 0.715 0.077
```

Total moment = 0.00 μB/atom
Formation energy without anion corrections = -0.91 eV per atom



Copy entry 1 word for word.
Material: Tm3Si6Pd20
Method: DFT, PBE
State: relaxed

Cell and atoms, written as POSCAR:
```
Tm3Si6Pd20
1.0
-0.243 4.500 -7.424
1.986 -3.893 -7.505
-6.223 -1.597 -5.844
Pd Si Tm
20 6 3
Direct
0.383 0.383 0.383
0.000 0.345 0.000
0.655 0.345 0.000
0.148 0.617 0.617
0.852 0.383 0.383
0.617 0.617 0.617
0.617 0.617 0.148
0.383 0.383 0.852
0.345 0.000 0.000
0.000 0.000 0.345
0.345 0.000 0.655
0.345 0.655 0.000
0.383 0.852 0.383
0.000 0.345 0.655
0.617 0.148 0.617
0.655 0.000 0.000
0.000 0.000 0.655
0.000 0.655 0.345
0.655 0.000 0.345
0.000 0.655 0.000
0.268 0.732 0.268
0.732 0.268 0.268
0.732 0.268 0.732
0.268 0.268 0.732
0.268 0.732 0.732
0.732 0.732 0.268
0.000 0.000 0.000
0.250 0.250 0.250
0.750 0.750 0.750
```

Total moment = 0.00 μB/atom
Formation energy without anion corrections = -0.82 eV per atom



Q: Among the records above, which one has the highest formation energy without anion corrections?
A: TmSi3Pd3